Arrangement P

Material: KCdF4
Method: DFT, PBE
State: relaxed

POSCAR file:
```
KCdF4
1.0
3.416 -5.491 0.000
3.416 5.491 0.000
-1.208 0.000 5.969
K Cd F
2 2 8
Direct
0.146 0.854 0.750 K
0.854 0.146 0.250 K
0.499 0.501 0.250 Cd
0.501 0.499 0.750 Cd
0.188 0.285 0.957 F
0.252 0.550 0.482 F
0.285 0.188 0.457 F
0.450 0.748 0.018 F
0.550 0.252 0.982 F
0.715 0.812 0.543 F
0.748 0.450 0.518 F
0.812 0.715 0.043 F
```

theoretical density	3.37	g cm⁻³
SG	C2/c


Arrangement Q

Material: KCdF4
Method: DFT, PBE
State: relaxed

POSCAR file:
```
KCdF4
1.0
3.873 0.000 0.000
0.000 3.873 0.000
0.000 0.000 6.417
K Cd F
1 1 4
Direct
0.000 0.000 0.000 K
0.500 0.500 0.500 Cd
0.000 0.500 0.290 F
0.000 0.500 0.710 F
0.500 0.000 0.290 F
0.500 0.000 0.710 F
```

theoretical density	3.92	g cm⁻³
SG	P4/mmm


Most stable of them? arrangement Q.


Arrangement P

Material: KCdN2F
Method: DFT, PBE
State: relaxed

POSCAR file:
```
KCdN2F
1.0
4.390 0.000 0.000
0.000 4.390 0.000
0.000 0.000 4.832
K Cd N F
1 1 2 1
Direct
0.000 0.000 0.000 K
0.500 0.500 0.500 Cd
0.000 0.500 0.500 N
0.500 0.000 0.500 N
0.500 0.500 0.000 F
```

theoretical density	3.54	g cm⁻³
SG	P4/mmm


Arrangement Q

Material: KCdN2F
Method: DFT, PBE
State: relaxed

POSCAR file:
```
KCdN2F
1.0
5.549 0.000 0.000
0.000 5.549 0.000
0.000 0.000 4.778
K Cd N F
1 1 2 1
Direct
0.000 0.000 0.000 K
0.500 0.500 0.500 Cd
0.000 0.500 0.000 N
0.500 0.000 0.000 N
0.000 0.000 0.500 F
```

theoretical density	2.24	g cm⁻³
SG	P4/mmm


Most stable of them? arrangement P.


Arrangement P

Material: KCdOF2
Method: DFT, PBE
State: relaxed

POSCAR file:
```
KCdOF2
1.0
4.620 0.000 0.000
0.000 4.620 0.000
0.000 0.000 4.673
K Cd O F
1 1 1 2
Direct
0.000 0.000 0.000 K
0.500 0.500 0.500 Cd
0.000 0.000 0.500 O
0.000 0.500 0.000 F
0.500 0.000 0.000 F
```

theoretical density	3.42	g cm⁻³
SG	P4/mmm


Arrangement Q

Material: KCdOF2
Method: DFT, PBE
State: relaxed

POSCAR file:
```
KCdOF2
1.0
4.527 0.000 0.000
0.000 4.527 0.000
0.000 0.000 4.248
K Cd O F
1 1 1 2
Direct
0.000 0.000 0.000 K
0.500 0.500 0.500 Cd
0.500 0.500 0.000 O
0.000 0.500 0.500 F
0.500 0.000 0.500 F
```

theoretical density	3.92	g cm⁻³
SG	P4/mmm


Most stable of them? arrangement Q.


Arrangement P

Material: LaCd3F
Method: DFT, PBE
State: relaxed

POSCAR file:
```
LaCd3F
1.0
5.040 0.000 0.000
0.000 5.040 0.000
0.000 0.000 5.040
La Cd F
1 3 1
Direct
0.000 0.000 0.000 La
0.000 0.500 0.500 Cd
0.500 0.000 0.500 Cd
0.500 0.500 0.000 Cd
0.500 0.500 0.500 F
```

theoretical density	6.42	g cm⁻³
SG	Pm-3m


Arrangement Q

Material: LaCd3F
Method: DFT, PBE
State: relaxed

POSCAR file:
```
LaCd3F
1.0
6.503 0.000 0.000
0.000 6.503 0.000
0.000 0.000 6.503
La Cd F
1 3 1
Direct
0.000 0.000 0.000 La
0.000 0.000 0.500 Cd
0.000 0.500 0.000 Cd
0.500 0.000 0.000 Cd
0.500 0.500 0.500 F
```

theoretical density	2.99	g cm⁻³
SG	Pm-3m


Most stable of them? arrangement P.